1.
NiAu2Se PBE relaxed; total magnetic moment = 0.69 Bohr magnetons per cell; symmetry = No. 216; crystal system = cubic; D(E_F) = 1.07 states/eV/atom
1.0
4.5950 0.0000 0.0000
2.2975 3.9794 0.0000
2.2975 1.3265 3.7518
Au Ni Se
2 1 1
direct
0.0000 0.0000 0.0000
0.2500 0.2500 0.2500
0.5000 0.5000 0.5000
0.7500 0.7500 0.7500

=====

2.
NiAuSe2 PBE relaxed; total magnetic moment = 0.00 Bohr magnetons per cell; symmetry = No. 65; crystal system = orthorhombic; D(E_F) = 0.70 states/eV/atom
1.0
-1.1912 -2.2537 -1.3081
2.0084 1.2119 -1.6453
7.0878 -6.1422 4.1282
Au Ni Se
1 1 2
direct
0.5000 0.5000 0.2500
0.5000 0.5000 0.7500
0.0000 0.0000 0.9244
0.0000 0.0000 0.5756

=====

Number 1: electronic total energy -3.611 eV/atom. Number 2: electronic total energy -3.789 eV/atom.